Below is crystalline Na2Pr3ErSe6 at its relaxed geometry, with properties calculated at the GGA-PBE level.

Its formation energy (no corrections) is -39.626 kcal/mol of atoms. As for the density of states at the Fermi level: 6.874 states/eV per cell. The calculated volume comes out at 26.53 A^3/atom. Its theoretical density is 5.8 g/cm3. As for the total DFT energy (no corrections): -5.2555 eV/atom.

The space group is C2/m (No. 12) and the conventional cell measures 7.310, 12.646 and 7.301 Å, with angles of 90.00, 109.38 and 90.00 degrees. The inequivalent atoms are Na at (0.000, 0.165, 0.000), Pr at (0.000, 0.000, 0.500), Pr at (0.000, 0.329, 0.500), Er at (0.000, 0.500, 0.000), Se at (0.241, 0.500, 0.755) and Se at (0.242, 0.338, 0.239).

***

Below is crystalline Th2Ga4Ir3Ru at its relaxed geometry, with properties calculated at the GGA-PBE level.

As for the density of states at the Fermi level: 6.031 states/eV per cell. For the energy of formation from the pure elements, the calculation gives -0.698 eV per atom. The calculated volume comes out at 18.91 A^3/atom. Its theoretical density is 12.5 g/cm3. As for the total DFT energy (no corrections): -6.9790 eV/atom.

The space group is P-4m2 (No. 115) and the conventional cell measures 4.337, 4.337 and 10.054 Å, with angles of 90.00, 90.00 and 90.00 degrees. The inequivalent atoms are Th at (0.000, 0.500, 0.234), Ga at (0.000, 0.000, 0.500), Ga at (0.000, 0.500, 0.877), Ga at (0.500, 0.500, 0.500), Ir at (0.000, 0.000, 0.000), Ir at (0.000, 0.500, 0.633) and Ru at (0.500, 0.500, 0.000).

***

Below is crystalline CsRb2InCl4 at its relaxed geometry, with properties calculated at the GGA-PBE level.

Its formation energy (no corrections) is -37.276 kcal/mol of atoms. As for the density of states at the Fermi level: 0.000 states/eV per cell. The calculated volume comes out at 40.50 A^3/atom. Its theoretical density is 2.9 g/cm3. As for the total DFT energy (no corrections): -3.2306 eV/atom.

The space group is Cmcm (No. 63) and the conventional cell measures 4.920, 16.331 and 16.130 Å, with angles of 90.00, 90.00 and 90.00 degrees. The inequivalent atoms are Cs at (0.000, 0.132, 0.250), Rb at (0.000, 0.375, 0.044), In at (0.000, 0.130, 0.750), Cl at (0.000, 0.000, 0.000), Cl at (0.000, 0.257, 0.621) and Cl at (0.000, 0.477, 0.250).

***

Below is crystalline MgZn2Au at its relaxed geometry, with properties calculated at the GGA-PBE level.

As for the density of states at the Fermi level: 1.207 states/eV per cell. For the energy of formation from the pure elements, the calculation gives -0.221 eV per atom. The calculated volume comes out at 17.64 A^3/atom. Its theoretical density is 8.3 g/cm3. As for the total DFT energy (no corrections): -2.0755 eV/atom.

The space group is P2/m (No. 10) and the conventional cell measures 2.988, 4.644 and 5.087 Å, with angles of 90.00, 91.73 and 90.00 degrees. The inequivalent atoms are Mg at (0.000, 0.000, 0.000), Zn at (0.479, 0.500, 0.755) and Au at (0.500, 0.000, 0.500).

***

Below is crystalline CaBe3Al at its relaxed geometry, with properties calculated at the GGA-PBE level.

As for the distance to the lowest polymorph of the same formula: 0.0 meV/atom. As for the density of states at the Fermi level: 1.243 states/eV per cell. For the energy of formation from the pure elements, the calculation gives 0.624 eV per atom. The calculated volume comes out at 17.19 A^3/atom. Its theoretical density is 1.8 g/cm3. As for the total DFT energy (no corrections): -2.7601 eV/atom.

The space group is Pm-3m (No. 221) and the conventional cell measures 4.413, 4.413 and 4.413 Å, with angles of 90.00, 90.00 and 90.00 degrees. The inequivalent atoms are Ca at (0.000, 0.000, 0.000), Be at (0.000, 0.500, 0.500) and Al at (0.500, 0.500, 0.500).

***

Below is crystalline NaGe at its relaxed geometry, with properties calculated at the GGA-PBE level.

As for the density of states at the Fermi level: 3.279 states/eV per cell. For the energy of formation from the pure elements, the calculation gives -0.071 eV per atom. The calculated volume comes out at 25.98 A^3/atom. Its theoretical density is 3.1 g/cm3. As for the total DFT energy (no corrections): -3.0396 eV/atom.

The space group is Cm (No. 8) and the conventional cell measures 10.596, 3.977 and 5.924 Å, with angles of 90.00, 123.64 and 90.00 degrees. The inequivalent atoms are Na at (0.000, 0.000, 0.000), Na at (0.125, 0.500, 0.624), Ge at (0.308, 0.500, 0.274) and Ge at (0.314, 0.000, 0.531).